Record 1
# PBE PmSm3, optimized geometry
# E above lowest polymorph   16 meV/atom
# Density   7.2 Mg/m³
data_PmSm3
_chemical_formula_sum 'Pm2 Sm6'
_space_group_name_H-M_alt 'I m m 2'
_space_group_IT_number 44
_cell_length_a 3.669
_cell_length_b 11.738
_cell_length_c 6.360
_cell_angle_alpha 90.00
_cell_angle_beta 90.00
_cell_angle_gamma 90.00
loop_
_space_group_symop_operation_xyz
'x,y,z'
'-x,-y,z'
'-x,y,z'
'x,-y,z'
'x+1/2,y+1/2,z+1/2'
'-x+1/2,-y+1/2,z+1/2'
'-x+1/2,y+1/2,z+1/2'
'x+1/2,-y+1/2,z+1/2'
loop_
_atom_site_label
_atom_site_type_symbol
_atom_site_fract_x
_atom_site_fract_y
_atom_site_fract_z
_atom_site_occupancy
Pm1 Pm 0.000 0.000 0.000 1
Sm1 Sm 0.000 0.250 0.669 1
Sm2 Sm 0.000 0.500 0.000 1

=====

Record 2
# PBE Pm5Sm2, optimized geometry
# E above lowest polymorph   0 meV/atom
# Density   7.1 Mg/m³
data_Pm5Sm2
_chemical_formula_sum 'Pm10 Sm4'
_space_group_name_H-M_alt 'C 1 2/m 1'
_space_group_IT_number 12
_cell_length_a 9.608
_cell_length_b 6.057
_cell_length_c 9.274
_cell_angle_alpha 90.00
_cell_angle_beta 117.70
_cell_angle_gamma 90.00
loop_
_space_group_symop_operation_xyz
'x,y,z'
'-x,-y,-z'
'-x,y,-z'
'x,-y,z'
'x+1/2,y+1/2,z'
'-x+1/2,-y+1/2,-z'
'-x+1/2,y+1/2,-z'
'x+1/2,-y+1/2,z'
loop_
_atom_site_label
_atom_site_type_symbol
_atom_site_fract_x
_atom_site_fract_y
_atom_site_fract_z
_atom_site_occupancy
Pm1 Pm 0.000 0.000 0.000 1
Pm2 Pm 0.072 0.500 0.715 1
Pm3 Pm 0.143 0.000 0.429 1
Sm1 Sm 0.215 0.500 0.144 1

=====

Record 3
# PBE PmSm4, optimized geometry
# E above lowest polymorph   612 meV/atom
# Density   6.4 Mg/m³
data_PmSm4
_chemical_formula_sum 'Pm1 Sm4'
_space_group_name_H-M_alt 'P m -3 m'
_space_group_IT_number 221
_space_group_name_Hall '-P 4 2 3'
_cell_length_a 5.774
_cell_length_b 5.774
_cell_length_c 5.774
_cell_angle_alpha 90.00
_cell_angle_beta 90.00
_cell_angle_gamma 90.00
loop_
_atom_site_label
_atom_site_type_symbol
_atom_site_fract_x
_atom_site_fract_y
_atom_site_fract_z
_atom_site_occupancy
Pm1 Pm 0.000 0.000 0.000 1
Sm1 Sm 0.000 0.000 0.500 1
Sm2 Sm 0.500 0.500 0.500 1

=====

Record 4
# PBE PmSm3, optimized geometry
# E above lowest polymorph   13 meV/atom
# Density   7.2 Mg/m³
data_PmSm3
_chemical_formula_sum 'Pm2 Sm6'
_space_group_name_H-M_alt 'P 63/m m c'
_space_group_IT_number 194
_space_group_name_Hall '-P 6c 2c'
_cell_length_a 7.3669
_cell_length_b 7.3669
_cell_length_c 5.8399
_cell_angle_alpha 90.00
_cell_angle_beta 90.00
_cell_angle_gamma 120.00
loop_
_atom_site_label
_atom_site_type_symbol
_atom_site_fract_x
_atom_site_fract_y
_atom_site_fract_z
_atom_site_occupancy
Pm1 Pm 0.3333 0.6667 0.2500 1
Sm1 Sm 0.1665 0.3331 0.7500 1

=====

Record 5
# PBE PmSm3, optimized geometry
# E above lowest polymorph   18 meV/atom
# Density   7.2 Mg/m³
data_PmSm3
_chemical_formula_sum 'Pm1 Sm3'
_space_group_name_H-M_alt 'P m m 2'
_space_group_IT_number 25
_cell_length_a 3.673
_cell_length_b 5.868
_cell_length_c 6.363
_cell_angle_alpha 90.00
_cell_angle_beta 90.00
_cell_angle_gamma 90.00
loop_
_space_group_symop_operation_xyz
'x,y,z'
'-x,-y,z'
'-x,y,z'
'x,-y,z'
loop_
_atom_site_label
_atom_site_type_symbol
_atom_site_fract_x
_atom_site_fract_y
_atom_site_fract_z
_atom_site_occupancy
Pm1 Pm 0.000 0.000 0.000 1
Sm1 Sm 0.000 0.500 0.333 1
Sm2 Sm 0.500 0.000 0.500 1
Sm3 Sm 0.500 0.500 0.833 1

=====

Record 6
# PBE Pm13Sm2, optimized geometry
# E above lowest polymorph   0 meV/atom
# Density   7.1 Mg/m³
data_Pm13Sm2
_chemical_formula_sum 'Pm13 Sm2'
_space_group_name_H-M_alt 'P -1'
_space_group_IT_number 2
_cell_length_a 6.769
_cell_length_b 9.131
_cell_length_c 9.134
_cell_angle_alpha 66.48
_cell_angle_beta 82.31
_cell_angle_gamma 82.31
loop_
_space_group_symop_operation_xyz
'x,y,z'
'-x,-y,-z'
loop_
_atom_site_label
_atom_site_type_symbol
_atom_site_fract_x
_atom_site_fract_y
_atom_site_fract_z
_atom_site_occupancy
Pm1 Pm 0.000 0.000 0.000 1
Pm2 Pm 0.100 0.434 0.766 1
Pm3 Pm 0.199 0.199 0.201 1
Pm4 Pm 0.300 0.632 0.968 1
Pm5 Pm 0.301 0.966 0.634 1
Pm6 Pm 0.400 0.400 0.401 1
Pm7 Pm 0.499 0.167 0.833 1
Sm1 Sm 0.100 0.768 0.433 1